No. 1
This record from Alexandria describes a geometry-optimized Cu2OsCl structure. The functional is GGA-PBE.

The structure in CIF format:
```
data_Cu2OsCl
_chemical_formula_sum 'Cu4 Os2 Cl2'
_space_group_name_H-M_alt 'I m m 2'
_space_group_IT_number 44
_cell_length_a 2.768
_cell_length_b 4.101
_cell_length_c 12.138
_cell_angle_alpha 90.00
_cell_angle_beta 90.00
_cell_angle_gamma 90.00
loop_
_space_group_symop_operation_xyz
'x,y,z'
'-x,-y,z'
'-x,y,z'
'x,-y,z'
'x+1/2,y+1/2,z+1/2'
'-x+1/2,-y+1/2,z+1/2'
'-x+1/2,y+1/2,z+1/2'
'x+1/2,-y+1/2,z+1/2'
loop_
_atom_site_label
_atom_site_type_symbol
_atom_site_fract_x
_atom_site_fract_y
_atom_site_fract_z
Cu1 Cu 0.000 0.000 0.000
Cu2 Cu 0.000 0.500 0.121
Os1 Os 0.000 0.500 0.677
Cl1 Cl 0.000 0.000 0.340
```

Calculated values
Energy relative to the lowest polymorph listed for this composition, eV per atom: 0.182
DOS(E_F), states/eV per cell: 9.4
Raw formation energy, meV/atom: 541



No. 2
This record from Alexandria describes a geometry-optimized Cu2OsCl structure. The functional is GGA-PBE.

The structure in CIF format:
```
data_Cu2OsCl
_chemical_formula_sum 'Cu4 Os2 Cl2'
_space_group_name_H-M_alt 'A m m 2'
_space_group_IT_number 38
_cell_length_a 4.037
_cell_length_b 2.734
_cell_length_c 10.705
_cell_angle_alpha 90.00
_cell_angle_beta 90.00
_cell_angle_gamma 90.00
loop_
_space_group_symop_operation_xyz
'x,y,z'
'-x,-y,z'
'-x,y,z'
'x,-y,z'
'x,y+1/2,z+1/2'
'-x,-y+1/2,z+1/2'
'-x,y+1/2,z+1/2'
'x,-y+1/2,z+1/2'
loop_
_atom_site_label
_atom_site_type_symbol
_atom_site_fract_x
_atom_site_fract_y
_atom_site_fract_z
Cu1 Cu 0.000 0.000 0.000
Cu2 Cu 0.500 0.000 0.129
Os1 Os 0.000 0.000 0.717
Cl1 Cl 0.500 0.000 0.862
```

Calculated values
Energy relative to the lowest polymorph listed for this composition, eV per atom: 0.280
DOS(E_F), states/eV per cell: 3.9
Raw formation energy, meV/atom: 638



No. 3
This record from Alexandria describes a geometry-optimized Cu2OsCl structure. The functional is GGA-PBE.

The structure in CIF format:
```
data_Cu2OsCl
_chemical_formula_sum 'Cu6 Os3 Cl3'
_space_group_name_H-M_alt 'R -3 m'
_space_group_IT_number 166
_space_group_name_Hall '-R 3 2"'
_cell_length_a 2.8803
_cell_length_b 2.8803
_cell_length_c 23.5876
_cell_angle_alpha 90.00
_cell_angle_beta 90.00
_cell_angle_gamma 120.00
loop_
_atom_site_label
_atom_site_type_symbol
_atom_site_fract_x
_atom_site_fract_y
_atom_site_fract_z
Cu1 Cu 0.0000 0.0000 0.2477
Os1 Os 0.0000 0.0000 0.0000
Cl1 Cl 0.0000 0.0000 0.5000
```

Calculated values
Energy relative to the lowest polymorph listed for this composition, eV per atom: 0.000
DOS(E_F), states/eV per cell: 7.7
Raw formation energy, meV/atom: 359



No. 4
This record from Alexandria describes a geometry-optimized Cu2OsCl structure. The functional is GGA-PBE.

The structure in CIF format:
```
data_Cu2OsCl
_chemical_formula_sum 'Cu4 Os2 Cl2'
_space_group_name_H-M_alt 'C 1 m 1'
_space_group_IT_number 8
_cell_length_a 12.545
_cell_length_b 2.745
_cell_length_c 4.162
_cell_angle_alpha 90.00
_cell_angle_beta 90.65
_cell_angle_gamma 90.00
loop_
_space_group_symop_operation_xyz
'x,y,z'
'x,-y,z'
'x+1/2,y+1/2,z'
'x+1/2,-y+1/2,z'
loop_
_atom_site_label
_atom_site_type_symbol
_atom_site_fract_x
_atom_site_fract_y
_atom_site_fract_z
Cu1 Cu 0.000 0.000 0.000
Cu2 Cu 0.119 0.000 0.504
Os1 Os 0.448 0.000 0.498
Cl1 Cl 0.283 0.500 0.489
```

Calculated values
Energy relative to the lowest polymorph listed for this composition, eV per atom: 0.141
DOS(E_F), states/eV per cell: 8.6
Raw formation energy, meV/atom: 500



No. 5
This record from Alexandria describes a geometry-optimized Cu4OsCl structure. The functional is GGA-PBE.

The structure in CIF format:
```
data_Cu4OsCl
_chemical_formula_sum 'Cu16 Os4 Cl4'
_space_group_name_H-M_alt 'F -4 3 m'
_space_group_IT_number 216
_space_group_name_Hall 'F -4 2 3'
_cell_length_a 6.920
_cell_length_b 6.920
_cell_length_c 6.920
_cell_angle_alpha 90.00
_cell_angle_beta 90.00
_cell_angle_gamma 90.00
loop_
_atom_site_label
_atom_site_type_symbol
_atom_site_fract_x
_atom_site_fract_y
_atom_site_fract_z
Cu1 Cu 0.124 0.124 0.124
Os1 Os 0.250 0.250 0.750
Cl1 Cl 0.000 0.000 0.500
```

Calculated values
DOS(E_F), states/eV per cell: 25.9
Raw formation energy, meV/atom: 783



No. 6
This record from Alexandria describes a geometry-optimized Cu2OsCl structure. The functional is GGA-PBE.

The structure in CIF format:
```
data_Cu2OsCl
_chemical_formula_sum 'Cu4 Os2 Cl2'
_space_group_name_H-M_alt 'C m m m'
_space_group_IT_number 65
_space_group_name_Hall '-C 2 2'
_cell_length_a 2.889
_cell_length_b 4.893
_cell_length_c 8.138
_cell_angle_alpha 90.00
_cell_angle_beta 90.00
_cell_angle_gamma 90.00
loop_
_atom_site_label
_atom_site_type_symbol
_atom_site_fract_x
_atom_site_fract_y
_atom_site_fract_z
Cu1 Cu 0.000 0.000 0.242
Os1 Os 0.000 0.500 0.500
Cl1 Cl 0.000 0.500 0.000
```

Calculated values
Energy relative to the lowest polymorph listed for this composition, eV per atom: 0.092
DOS(E_F), states/eV per cell: 6.6
Raw formation energy, meV/atom: 450